*w*
VASP calculation (PBE-GGA) on crystalline Cs2SrPt at its relaxed geometry.

Cell: 12.890 12.890 9.579 Å, 47.71 47.71 90.00°
Fractional coordinates of all 8 atoms:
Cs  0.773  0.125  0.250
Cs  0.977  0.625  0.250
Cs  0.375  0.227  0.750
Cs  0.875  0.023  0.750
Sr  0.500  0.500  0.000
Sr  0.250  0.750  0.500
Pt  0.000  0.000  0.000
Pt  0.750  0.250  0.500

Computed properties:
V (Å³/cell): 489.38
Fermi-level density of states (states/eV/atom): 0.18
Calculated density (g/cm3): 3.722


*x*
VASP calculation (PBE-GGA) on crystalline Cs2SrPt at its relaxed geometry.

Cell: 6.286 6.286 6.286 Å, 60.00 60.00 60.00°
Fractional coordinates of all 4 atoms:
Cs  0.250  0.250  0.250
Cs  0.750  0.750  0.750
Sr  0.000  0.000  0.000
Pt  0.500  0.500  0.500

Computed properties:
V (Å³/cell): 175.60
Fermi-level density of states (states/eV/atom): 0.08
Calculated density (g/cm3): 5.187


Stability check: which of them is least stable? *x*.


*w*
VASP calculation (PBE-GGA) on crystalline CsTa2Pt2 at its relaxed geometry.

Cell: 8.578 8.578 2.901 Å, 90.00 90.00 90.00°
Fractional coordinates of all 10 atoms:
Cs  0.000  0.000  0.000
Cs  0.500  0.500  0.000
Pt  0.333  0.833  0.000
Pt  0.833  0.667  0.000
Pt  0.667  0.167  0.000
Pt  0.167  0.333  0.000
Ta  0.113  0.613  0.500
Ta  0.613  0.887  0.500
Ta  0.887  0.387  0.500
Ta  0.387  0.113  0.500

Computed properties:
V (Å³/cell): 213.46
Fermi-level density of states (states/eV/atom): 0.92
Calculated density (g/cm3): 13.769


*x*
VASP calculation (PBE-GGA) on crystalline CsTa2Pt2 at its relaxed geometry.

Cell: 4.549 4.549 8.356 Å, 74.20 74.20 90.00°
Fractional coordinates of all 5 atoms:
Cs  0.000  0.000  0.000
Pt  0.327  0.327  0.347
Pt  0.673  0.673  0.653
Ta  0.750  0.250  0.500
Ta  0.250  0.750  0.500

Computed properties:
V (Å³/cell): 159.62
Fermi-level density of states (states/eV/atom): 1.12
Calculated density (g/cm3): 9.206


Stability check: which of them is least stable? *w*.


*w*
VASP calculation (PBE-GGA) on crystalline CsTa3Pt at its relaxed geometry.

Cell: 5.078 5.078 5.078 Å, 90.00 90.00 90.00°
Site moments in Bohr magnetons follow the coordinates.
Fractional coordinates of all 5 atoms:
Cs  0.500  0.500  0.500  0.03
Pt  0.000  0.000  0.000  0.00
Ta  0.000  0.500  0.000  0.10
Ta  0.000  0.000  0.500  0.07
Ta  0.500  0.000  0.000  0.22

Computed properties:
V (Å³/cell): 130.92
Fermi-level density of states (states/eV/atom): 1.34
Calculated density (g/cm3): 11.045


*x*
VASP calculation (PBE-GGA) on crystalline CsTa3Pt at its relaxed geometry.

Cell: 4.946 4.946 4.946 Å, 90.00 90.00 90.00°
Fractional coordinates of all 5 atoms:
Cs  0.000  0.000  0.000
Pt  0.500  0.500  0.500
Ta  0.000  0.500  0.000
Ta  0.000  0.000  0.500
Ta  0.500  0.000  0.000

Computed properties:
V (Å³/cell): 121.02
Fermi-level density of states (states/eV/atom): 1.88
Calculated density (g/cm3): 11.949


Stability check: which of them is least stable? *x*.


*w*
VASP calculation (PBE-GGA) on crystalline CsTcPt at its relaxed geometry.

Cell: 14.748 5.144 4.613 Å, 90.00 90.00 90.00°
Site moments in Bohr magnetons follow the coordinates.
Fractional coordinates of all 12 atoms:
Cs  0.698  0.250  0.000  0.00
Cs  0.802  0.750  0.500  0.00
Cs  0.302  0.750  0.000  0.00
Cs  0.198  0.250  0.500  0.00
Tc  0.000  0.000  0.000  0.52
Tc  0.500  0.500  0.500  0.52
Tc  0.500  0.000  0.500  0.52
Tc  0.000  0.500  0.000  0.52
Pt  0.476  0.250  0.000  0.01
Pt  0.024  0.750  0.500  0.01
Pt  0.524  0.750  0.000  0.01
Pt  0.976  0.250  0.500  0.01

Computed properties:
V (Å³/cell): 349.99
Fermi-level density of states (states/eV/atom): 1.08
Calculated density (g/cm3): 8.085


*x*
VASP calculation (PBE-GGA) on crystalline CsTcPt at its relaxed geometry.

Cell: 22.620 11.029 11.029 Å, 156.84 164.76 15.24°
Fractional coordinates of all 6 atoms:
Cs  0.724  0.432  0.568
Cs  0.416  0.058  0.942
Tc  0.985  0.891  0.109
Tc  0.573  0.242  0.758
Pt  0.141  0.592  0.408
Pt  0.144  0.172  0.828

Computed properties:
V (Å³/cell): 187.38
Fermi-level density of states (states/eV/atom): 1.68
Calculated density (g/cm3): 7.550


*y*
VASP calculation (PBE-GGA) on crystalline CsTcPt at its relaxed geometry.

Cell: 7.573 4.632 8.988 Å, 90.00 90.00 90.00°
Fractional coordinates of all 12 atoms:
Cs  0.946  0.250  0.867
Cs  0.554  0.750  0.367
Cs  0.054  0.750  0.133
Cs  0.446  0.250  0.633
Tc  0.972  0.250  0.437
Tc  0.528  0.750  0.937
Tc  0.028  0.750  0.563
Tc  0.472  0.250  0.063
Pt  0.261  0.250  0.289
Pt  0.239  0.750  0.789
Pt  0.739  0.750  0.711
Pt  0.761  0.250  0.211

Computed properties:
V (Å³/cell): 315.29
Fermi-level density of states (states/eV/atom): 0.08
Calculated density (g/cm3): 8.974


*z*
VASP calculation (PBE-GGA) on crystalline CsTcPt at its relaxed geometry.

Cell: 38.085 12.925 12.925 Å, 161.01 169.02 10.98°
Fractional coordinates of all 6 atoms:
Cs  0.739  0.994  0.006
Cs  0.261  0.006  0.994
Tc  0.166  0.000  0.000
Tc  0.834  0.000  0.000
Pt  0.466  0.997  0.003
Pt  0.534  0.003  0.997

Computed properties:
V (Å³/cell): 199.66
Fermi-level density of states (states/eV/atom): 0.12
Calculated density (g/cm3): 7.086


Stability check: which of them is least stable? *y*.


*w*
VASP calculation (PBE-GGA) on crystalline CsTe2Pt2 at its relaxed geometry.

Cell: 5.197 5.197 7.281 Å, 69.09 69.09 90.00°
Fractional coordinates of all 5 atoms:
Cs  0.000  0.000  0.000
Te  0.750  0.250  0.500
Te  0.250  0.750  0.500
Pt  0.306  0.306  0.387
Pt  0.694  0.694  0.613

Computed properties:
V (Å³/cell): 169.79
Fermi-level density of states (states/eV/atom): 0.33
Calculated density (g/cm3): 7.611


*x*
VASP calculation (PBE-GGA) on crystalline CsTe2Pt2 at its relaxed geometry.

Cell: 7.311 7.051 7.992 Å, 89.77 65.25 61.20°
Fractional coordinates of all 10 atoms:
Cs  0.872  0.813  0.212
Cs  0.128  0.187  0.788
Te  0.486  0.506  0.224
Te  0.808  0.848  0.708
Te  0.192  0.152  0.292
Te  0.514  0.494  0.776
Pt  0.500  0.798  0.000
Pt  0.742  0.378  0.402
Pt  0.500  0.202  0.000
Pt  0.258  0.622  0.598

Computed properties:
V (Å³/cell): 317.55
Fermi-level density of states (states/eV/atom): 0.37
Calculated density (g/cm3): 8.139


Stability check: which of them is least stable? *w*.


*w*
VASP calculation (PBE-GGA) on crystalline CsTi3Pt at its relaxed geometry.

Cell: 4.857 4.857 4.857 Å, 90.00 90.00 90.00°
Site moments in Bohr magnetons follow the coordinates.
Fractional coordinates of all 5 atoms:
Cs  0.000  0.000  0.000  0.03
Pt  0.500  0.500  0.500  0.01
Ti  0.000  0.500  0.000  0.49
Ti  0.000  0.000  0.500  0.36
Ti  0.500  0.000  0.000  0.48

Computed properties:
V (Å³/cell): 114.61
Fermi-level density of states (states/eV/atom): 1.72
Calculated density (g/cm3): 6.833


*x*
VASP calculation (PBE-GGA) on crystalline CsTi3Pt at its relaxed geometry.

Cell: 5.034 5.034 5.034 Å, 90.00 90.00 90.00°
Fractional coordinates of all 5 atoms:
Cs  0.500  0.500  0.500
Pt  0.000  0.000  0.000
Ti  0.000  0.500  0.000
Ti  0.000  0.000  0.500
Ti  0.500  0.000  0.000

Computed properties:
V (Å³/cell): 127.53
Fermi-level density of states (states/eV/atom): 2.41
Calculated density (g/cm3): 6.140


Stability check: which of them is least stable? *w*.


*w*
VASP calculation (PBE-GGA) on crystalline CsTl3Pt at its relaxed geometry.

Cell: 17.258 9.887 9.887 Å, 115.98 138.42 41.58°
Fractional coordinates of all 20 atoms:
Cs  0.750  0.081  0.581
Cs  0.250  0.919  0.419
Cs  0.750  0.665  0.165
Cs  0.250  0.335  0.835
Tl  0.305  0.440  0.309
Tl  0.195  0.809  0.940
Tl  0.695  0.560  0.691
Tl  0.805  0.191  0.060
Tl  0.114  0.234  0.039
Tl  0.386  0.539  0.734
Tl  0.886  0.766  0.961
Tl  0.614  0.461  0.266
Tl  0.489  0.063  0.682
Tl  0.011  0.182  0.563
Tl  0.511  0.937  0.318
Tl  0.989  0.818  0.437
Pt  0.167  0.442  0.361
Pt  0.333  0.861  0.942
Pt  0.833  0.558  0.639
Pt  0.667  0.139  0.058

Computed properties:
V (Å³/cell): 714.31
Fermi-level density of states (states/eV/atom): 0.45
Calculated density (g/cm3): 8.751


*x*
VASP calculation (PBE-GGA) on crystalline CsTl3Pt at its relaxed geometry.

Cell: 6.867 6.867 9.764 Å, 69.41 69.41 90.00°
Fractional coordinates of all 10 atoms:
Cs  0.589  0.089  0.822
Cs  0.911  0.411  0.178
Tl  0.624  0.875  0.250
Tl  0.125  0.376  0.750
Tl  0.125  0.874  0.750
Tl  0.126  0.875  0.250
Tl  0.295  0.295  0.410
Tl  0.705  0.705  0.590
Pt  0.000  0.000  0.000
Pt  0.250  0.750  0.500

Computed properties:
V (Å³/cell): 399.43
Fermi-level density of states (states/eV/atom): 0.59
Calculated density (g/cm3): 7.825


*y*
VASP calculation (PBE-GGA) on crystalline CsTl3Pt at its relaxed geometry.

Cell: 16.361 16.361 5.378 Å, 90.00 90.00 157.18°
Fractional coordinates of all 10 atoms:
Cs  0.117  0.883  0.250
Cs  0.883  0.117  0.750
Tl  0.030  0.451  0.250
Tl  0.549  0.970  0.250
Tl  0.451  0.030  0.750
Tl  0.970  0.549  0.750
Tl  0.000  0.000  0.000
Tl  0.000  0.000  0.500
Pt  0.221  0.779  0.250
Pt  0.779  0.221  0.750

Computed properties:
V (Å³/cell): 558.33
Fermi-level density of states (states/eV/atom): 0.53
Calculated density (g/cm3): 5.598


*z*
VASP calculation (PBE-GGA) on crystalline CsTl3Pt at its relaxed geometry.

Cell: 10.623 10.623 10.623 Å, 60.00 60.00 60.00°
Fractional coordinates of all 20 atoms:
Cs  0.125  0.125  0.125
Cs  0.125  0.625  0.125
Cs  0.625  0.125  0.125
Cs  0.125  0.125  0.625
Tl  0.675  0.325  0.325
Tl  0.925  0.575  0.575
Tl  0.575  0.575  0.925
Tl  0.575  0.925  0.925
Tl  0.925  0.575  0.925
Tl  0.675  0.325  0.675
Tl  0.575  0.925  0.575
Tl  0.925  0.925  0.575
Tl  0.325  0.675  0.325
Tl  0.325  0.675  0.675
Tl  0.325  0.325  0.675
Tl  0.675  0.675  0.325
Pt  0.625  0.625  0.625
Pt  0.625  0.125  0.625
Pt  0.125  0.625  0.625
Pt  0.625  0.625  0.125

Computed properties:
V (Å³/cell): 847.71
Fermi-level density of states (states/eV/atom): 1.85
Calculated density (g/cm3): 7.374


Stability check: which of them is least stable? *y*.


*w*
VASP calculation (PBE-GGA) on crystalline CsTl3Pt at its relaxed geometry.

Cell: 16.340 9.272 9.272 Å, 99.79 131.63 48.37°
Fractional coordinates of all 20 atoms:
Cs  0.250  0.244  0.245
Cs  0.250  0.745  0.744
Cs  0.750  0.756  0.755
Cs  0.750  0.255  0.256
Tl  0.501  0.749  0.750
Tl  0.999  0.250  0.249
Tl  0.499  0.251  0.250
Tl  0.001  0.750  0.751
Tl  0.001  0.121  0.877
Tl  0.499  0.377  0.621
Tl  0.999  0.879  0.123
Tl  0.501  0.623  0.379
Tl  0.999  0.379  0.622
Tl  0.501  0.122  0.879
Tl  0.001  0.621  0.378
Tl  0.499  0.878  0.121
Pt  0.750  0.159  0.659
Pt  0.250  0.841  0.341
Pt  0.750  0.658  0.158
Pt  0.250  0.342  0.842

Computed properties:
V (Å³/cell): 685.98
Fermi-level density of states (states/eV/atom): 0.59
Calculated density (g/cm3): 9.113


*x*
VASP calculation (PBE-GGA) on crystalline CsTl3Pt at its relaxed geometry.

Cell: 6.666 7.314 7.723 Å, 61.75 86.27 90.04°
Fractional coordinates of all 10 atoms:
Cs  0.336  0.218  0.289
Cs  0.354  0.506  0.714
Tl  0.845  0.362  0.502
Tl  0.202  0.951  0.825
Tl  0.488  0.773  0.179
Tl  0.845  0.862  0.502
Tl  0.845  0.126  0.002
Tl  0.845  0.598  0.002
Pt  0.059  0.739  0.248
Pt  0.631  0.985  0.756

Computed properties:
V (Å³/cell): 330.73
Fermi-level density of states (states/eV/atom): 0.56
Calculated density (g/cm3): 9.451


Stability check: which of them is least stable? *w*.